1.
! Ho3TmAu4, relaxed, DFT PBE; values from VASP
&SYSTEM
  ibrav = 0, nat = 8, ntyp = 3
/
ATOMIC_SPECIES
Au 196.97 Au.upf
Tm 168.93 Tm.upf
Ho 164.93 Ho.upf
ATOMIC_POSITIONS crystal
Au 0.000 0.000 0.375
Au 0.000 0.000 0.878
Au 0.000 0.000 0.122
Au 0.000 0.000 0.625
Tm 0.500 0.500 0.000
Ho 0.500 0.500 0.500
Ho 0.500 0.500 0.751
Ho 0.500 0.500 0.249
CELL_PARAMETERS angstrom
3.575 0.000 0.000
0.000 3.575 0.000
0.000 0.000 14.313
! Calculated formation energy   -874 meV per atom
! Calculated volume   22.86 Å³/atom
! D(E_F)   0.63 states/eV/atom

---

2.
! RbNa2NpI6, relaxed, DFT PBE; values from VASP
&SYSTEM
  ibrav = 0, nat = 10, ntyp = 4
/
ATOMIC_SPECIES
I 126.90 I.upf
Na 22.99 Na.upf
Np 237.00 Np.upf
Rb 85.47 Rb.upf
ATOMIC_POSITIONS crystal
I 0.160 0.354 0.755
I 0.354 0.731 0.755
I 0.578 0.250 0.236
I 0.935 0.579 0.236
I 0.250 0.935 0.236
I 0.732 0.160 0.755
Na 0.001 0.002 0.996
Na 0.516 0.516 0.453
Np 0.328 0.327 0.018
Rb 0.808 0.808 0.576
CELL_PARAMETERS angstrom
8.262 0.003 0.001
4.134 7.153 0.000
4.133 2.385 7.666
! Uncorrected formation energy   -1.137 eV/atom
! Calculated volume   45.29 Å³/atom
! D(E_F)   0.40 states/eV/atom

---

3.
! K2GaIrCl, relaxed, DFT PBE; values from VASP
&SYSTEM
  ibrav = 0, nat = 5, ntyp = 4
/
ATOMIC_SPECIES
Ga 69.72 Ga.upf
Cl 35.45 Cl.upf
K 39.10 K.upf
Ir 192.22 Ir.upf
ATOMIC_POSITIONS crystal
Ga 0.000 0.500 0.000
Cl 0.000 0.000 0.000
K 0.500 0.000 0.000
K 0.000 0.000 0.500
Ir 0.500 0.500 0.500
CELL_PARAMETERS angstrom
5.662 0.000 0.000
0.000 5.508 0.000
0.000 0.000 5.662
! Uncorrected formation energy   0.364 eV/atom
! Calculated volume   35.32 Å³/atom
! D(E_F)   0.22 states/eV/atom

---

4.
! TeAsS2, relaxed, DFT PBE; values from VASP
&SYSTEM
  ibrav = 0, nat = 4, ntyp = 3
/
ATOMIC_SPECIES
Te 127.60 Te.upf
S 32.06 S.upf
As 74.92 As.upf
ATOMIC_POSITIONS crystal
Te 0.500 0.500 0.500
S 0.750 0.750 0.750
S 0.250 0.250 0.250
As 0.000 0.000 0.000
CELL_PARAMETERS angstrom
0.187 -2.261 4.218
-3.698 -2.677 1.448
0.408 -4.770 0.144
! Distance to the lowest polymorph of the same formula   0.596 eV per atom
! Uncorrected formation energy   0.556 eV/atom
! Calculated volume   19.42 Å³/atom
! D(E_F)   0.76 states/eV/atom

---

5.
! K2RbCu2, relaxed, DFT PBE; values from VASP
&SYSTEM
  ibrav = 0, nat = 10, ntyp = 3
/
ATOMIC_SPECIES
Cu 63.55 Cu.upf
K 39.10 K.upf
Rb 85.47 Rb.upf
ATOMIC_POSITIONS crystal
Cu 0.902 0.598 0.000
Cu 0.402 0.902 0.000
Cu 0.598 0.098 0.000
Cu 0.098 0.402 0.000
K 0.339 0.161 0.500
K 0.661 0.839 0.500
K 0.161 0.661 0.500
K 0.839 0.339 0.500
Rb 0.000 0.000 0.000
Rb 0.500 0.500 0.000
CELL_PARAMETERS angstrom
8.831 0.000 0.000
0.000 8.831 0.000
0.000 0.000 5.068
! Distance to the lowest polymorph of the same formula   0.000 eV per atom
! Calculated formation energy   337 meV per atom
! Calculated volume   39.52 Å³/atom
! D(E_F)   0.58 states/eV/atom

---

6.
! BaFeRe2, relaxed, DFT PBE; values from VASP
&SYSTEM
  ibrav = 0, nat = 4, ntyp = 3
/
ATOMIC_SPECIES
Re 186.21 Re.upf
Fe 55.84 Fe.upf
Ba 137.33 Ba.upf
ATOMIC_POSITIONS crystal
Re 0.000 0.000 0.000
Re 0.500 0.000 0.500
Fe 0.500 0.500 0.000
Ba 0.000 0.500 0.500
CELL_PARAMETERS angstrom
-4.927 -1.402 -0.346
3.714 -3.849 -2.560
-0.024 -2.054 1.945
! Distance to the lowest polymorph of the same formula   0.873 eV per atom
! Calculated formation energy   1417 meV per atom
! Calculated volume   18.88 Å³/atom
! D(E_F)   1.07 states/eV/atom

---

7.
! RbBaAg2, relaxed, DFT PBE; values from VASP
&SYSTEM
  ibrav = 0, nat = 4, ntyp = 3
/
ATOMIC_SPECIES
Ag 107.87 Ag.upf
Rb 85.47 Rb.upf
Ba 137.33 Ba.upf
ATOMIC_POSITIONS crystal
Ag 0.250 0.250 0.250
Ag 0.750 0.750 0.750
Rb 0.000 0.000 0.000
Ba 0.500 0.500 0.500
CELL_PARAMETERS angstrom
-1.794 -4.850 2.855
-4.821 0.192 3.407
-4.930 -2.774 -1.700
! Distance to the lowest polymorph of the same formula   0.047 eV per atom
! Calculated formation energy   -39 meV per atom
! Calculated volume   36.43 Å³/atom
! D(E_F)   0.61 states/eV/atom

---

8.
! LiTbPr2Hg4, relaxed, DFT PBE; values from VASP
&SYSTEM
  ibrav = 0, nat = 8, ntyp = 4
/
ATOMIC_SPECIES
Tb 158.93 Tb.upf
Pr 140.91 Pr.upf
Hg 200.59 Hg.upf
Li 6.94 Li.upf
ATOMIC_POSITIONS crystal
Tb 0.000 0.000 0.000
Pr 0.755 0.755 0.736
Pr 0.245 0.245 0.264
Hg 0.626 0.626 0.122
Hg 0.125 0.125 0.625
Hg 0.374 0.374 0.878
Hg 0.875 0.875 0.375
Li 0.500 0.500 0.500
CELL_PARAMETERS angstrom
5.277 0.000 0.000
2.639 4.570 0.000
2.639 1.523 8.738
! Calculated formation energy   -451 meV per atom
! Calculated volume   26.34 Å³/atom
! D(E_F)   0.95 states/eV/atom

---

9.
! CrTcB3, relaxed, DFT PBE; values from VASP
&SYSTEM
  ibrav = 0, nat = 5, ntyp = 3
/
ATOMIC_SPECIES
B 10.81 B.upf
Tc 98.00 Tc.upf
Cr 52.00 Cr.upf
ATOMIC_POSITIONS crystal
B 0.000 0.000 0.500
B 0.500 0.000 0.000
B 0.000 0.500 0.000
Tc 0.500 0.500 0.500
Cr 0.000 0.000 0.000
CELL_PARAMETERS angstrom
-1.456 -0.210 -3.422
3.320 -1.015 -1.350
-0.857 -3.578 0.584
! Distance to the lowest polymorph of the same formula   0.000 eV per atom
! Calculated formation energy   1108 meV per atom
! Calculated volume   10.34 Å³/atom
! D(E_F)   0.27 states/eV/atom

---

10.
! Be2HRuAu, relaxed, DFT PBE; values from VASP
&SYSTEM
  ibrav = 0, nat = 5, ntyp = 4
/
ATOMIC_SPECIES
H 1.01 H.upf
Ru 101.07 Ru.upf
Be 9.01 Be.upf
Au 196.97 Au.upf
ATOMIC_POSITIONS crystal
H 0.000 0.000 0.000
Ru 0.000 0.000 0.500
Be 0.000 0.500 0.000
Be 0.500 0.000 0.000
Au 0.500 0.500 0.500
CELL_PARAMETERS angstrom
-2.392 -2.482 -1.892
1.576 -3.018 1.967
-2.270 0.370 2.386
! Uncorrected energy   -4.748 eV/atom
! Calculated volume   10.25 Å³/atom
! D(E_F)   0.39 states/eV/atom

---

11.
! Sr2Li3ZnBi4, relaxed, DFT PBE; values from VASP
&SYSTEM
  ibrav = 0, nat = 10, ntyp = 4
/
ATOMIC_SPECIES
Bi 208.98 Bi.upf
Sr 87.62 Sr.upf
Zn 65.41 Zn.upf
Li 6.94 Li.upf
ATOMIC_POSITIONS crystal
Bi 0.000 0.000 0.000
Bi 0.500 0.500 0.000
Bi 0.500 0.000 0.637
Bi 0.000 0.500 0.363
Sr 0.000 0.500 0.753
Sr 0.500 0.000 0.247
Zn 0.500 0.500 0.500
Li 0.000 0.000 0.500
Li 0.500 0.000 0.868
Li 0.000 0.500 0.132
CELL_PARAMETERS angstrom
-3.263 3.550 -0.008
-1.428 -1.323 -4.411
-7.917 -7.266 4.742
! Calculated formation energy   -581 meV per atom
! Calculated volume   27.31 Å³/atom
! D(E_F)   0.08 states/eV/atom

---

Which of these has the highest calculated volume? RbNa2NpI6